DFT (PBE-GGA) results for a relaxed structure of NdPuNp2P4.

It has space group I-4m2 (No. 119), with a = 5.675 Å, b = 5.675 Å, c = 11.362 Å, α = 90.00°, β = 90.00° and γ = 90.00°. The asymmetric unit holds Nd at (0.000, 0.000, 0.000), Pu at (0.000, 0.500, 0.750), Np at (0.000, 0.000, 0.500), Np at (0.000, 0.500, 0.250), P at (0.000, 0.000, 0.258) and P at (0.000, 0.500, 0.002).

Its calculated formation energy is -8.5 eV/f.u. For the electronic total energy, the calculation gives -75.1 eV/f.u.